{"formula": "VSeF3", "functional": "PBE+U", "state": "optimized geometry", "lattice": [[4.1823, 0.0000, 0.0000], [0.0000, 4.1823, 0.0000], [0.0000, 0.0000, 4.1823]], "species": ["V", "Se", "F", "F", "F"], "fractional_positions": [[0.0000, 0.0000, 0.0000], [0.5000, 0.5000, 0.5000], [0.0000, 0.0000, 0.5000], [0.0000, 0.5000, 0.0000], [0.5000, 0.0000, 0.0000]], "sg": "Pm-3m, No. 221", "polymorph_energy_mev_per_atom": 0, "m_tot_mub_per_fu": 5.08, "energy_ev_per_cell": -24.4}